HoEr6Tm3 after structural relaxation, computed with PBE.

E above lowest polymorph = 0.000 eV/atom
final energy = -88.22 eV for the cell shown
SG = No. 36

Unit cell a=6.270 b=11.338 c=11.338 alpha=130.53 beta=90.00 gamma=90.00
Element x y z (fractional)
1 Ho 0.016 0.162 0.838
2 Ho 0.516 0.838 0.162
3 Er 0.068 0.742 0.622
4 Er 0.568 0.622 0.742
5 Er 0.328 0.458 0.896
6 Er 0.828 0.896 0.458
7 Er 0.321 0.985 0.015
8 Er 0.784 0.301 0.699
9 Er 0.284 0.699 0.301
10 Er 0.821 0.015 0.985
11 Er 0.328 0.104 0.542
12 Er 0.828 0.542 0.104
13 Er 0.068 0.378 0.258
14 Er 0.568 0.258 0.378
15 Tm 0.490 0.957 0.705
16 Tm 0.990 0.705 0.957
17 Tm 0.094 0.419 0.581
18 Tm 0.594 0.581 0.419
19 Tm 0.990 0.043 0.295
20 Tm 0.490 0.295 0.043

***

Ho2Er2Tm5 after structural relaxation, computed with PBE.

E above lowest polymorph = 0.000 eV/atom
final energy = -40.41 eV for the cell shown
SG = No. 2

Unit cell a=3.490 b=13.538 c=6.049 alpha=90.03 beta=106.91 gamma=97.58
Element x y z (fractional)
1 Ho 0.334 0.778 0.889
2 Ho 0.666 0.222 0.111
3 Er 0.000 0.333 0.666
4 Er 0.000 0.667 0.334
5 Tm 0.333 0.445 0.222
6 Tm 0.667 0.555 0.778
7 Tm 0.333 0.111 0.556
8 Tm 0.667 0.889 0.444
9 Tm 0.000 0.000 0.000

***

Computed values of E_form (unit: meV per atom) for the preceding records, in sequence: 126; 25.
Computed values of M_tot (unit: μB per cell) for the preceding records, in sequence: 0.000; 0.000.